No. 1
Density functional theory data (PBE) for a relaxed CaCu2Ni2 crystal.

## Properties
DOS at the Fermi energy ... 2.66 states/eV/f.u.
Space-group type ... P4/mbm
E above lowest polymorph ... 35 meV/atom
Formation energy ... 0.038 eV per atom

Cell and atoms, written as POSCAR:
```
CaCu2Ni2
1.0
7.148 0.000 0.000
0.000 7.148 0.000
0.000 0.000 2.781
Cu Ca Ni
4 2 4
direct
0.168 0.668 0.500
0.332 0.168 0.500
0.668 0.832 0.500
0.832 0.332 0.500
0.000 0.000 0.000
0.500 0.500 0.000
0.376 0.876 0.000
0.624 0.124 0.000
0.876 0.624 0.000
0.124 0.376 0.000
```


No. 2
Density functional theory data (PBE) for a relaxed Ca2Cu15Ni2 crystal.

## Properties
DOS at the Fermi energy ... 10.16 states/eV/f.u.
Space-group type ... R-3m
Formation energy ... -0.061 eV per atom

Cell and atoms, written as POSCAR:
```
Ca2Cu15Ni2
1.0
-3.923 -5.088 -0.593
0.984 -1.021 -6.294
4.522 -4.557 0.642
Ca Cu Ni
2 15 2
direct
0.339 0.339 0.339
0.661 0.661 0.661
0.851 0.344 0.344
0.291 0.709 0.000
0.344 0.851 0.344
0.500 0.000 0.000
0.000 0.291 0.709
0.000 0.709 0.291
0.000 0.500 0.000
0.656 0.149 0.656
0.000 0.000 0.500
0.709 0.000 0.291
0.709 0.291 0.000
0.656 0.656 0.149
0.344 0.344 0.851
0.149 0.656 0.656
0.291 0.000 0.709
0.904 0.904 0.904
0.096 0.096 0.096
```


No. 3
Density functional theory data (PBE) for a relaxed CaCuNi crystal.

## Properties
DOS at the Fermi energy ... 2.43 states/eV/f.u.
Space-group type ... F-43m
Formation energy ... 0.196 eV per atom

Cell and atoms, written as POSCAR:
```
CaCuNi
1.0
4.366 0.000 0.000
2.183 3.781 0.000
2.183 1.260 3.565
Cu Ni Ca
1 1 1
direct
0.500 0.500 0.500
0.750 0.750 0.750
0.000 0.000 0.000
```


No. 4
Density functional theory data (PBE) for a relaxed CaCuNi2 crystal.

## Properties
DOS at the Fermi energy ... 3.84 states/eV/f.u.
Space-group type ... Pmm2
Formation energy ... 0.135 eV per atom

Cell and atoms, written as POSCAR:
```
CaCuNi2
1.0
3.152 0.000 0.000
0.000 3.070 0.000
0.000 0.000 6.407
Cu Ni Ca
1 2 1
direct
0.500 0.500 0.812
0.500 0.500 0.186
0.000 0.000 0.011
0.000 0.000 0.491
```


No. 5
Density functional theory data (PBE) for a relaxed CaCuNi crystal.

## Properties
DOS at the Fermi energy ... 1.67 states/eV/f.u.
Space-group type ... P2_1/c
Formation energy ... -0.101 eV per atom

Cell and atoms, written as POSCAR:
```
CaCuNi
1.0
5.391 0.000 0.000
0.000 5.839 -0.102
0.000 -2.752 6.865
Cu Ni Ca
4 4 4
direct
0.601 0.406 0.808
0.101 0.594 0.692
0.399 0.594 0.192
0.899 0.406 0.308
0.391 0.809 0.965
0.891 0.191 0.535
0.109 0.809 0.465
0.609 0.191 0.035
0.885 0.804 0.120
0.115 0.196 0.880
0.615 0.804 0.620
0.385 0.196 0.380
```


No. 6
Density functional theory data (PBE) for a relaxed CaCuNi crystal.

## Properties
DOS at the Fermi energy ... 1.63 states/eV/f.u.
Space-group type ... Imm2
Formation energy ... -0.077 eV per atom

Cell and atoms, written as POSCAR:
```
CaCuNi
1.0
-3.140 1.595 2.407
1.069 -4.974 4.690
4.755 4.229 3.401
Ni Ca Cu
4 4 4
direct
0.000 0.679 0.816
0.500 0.821 0.316
0.000 0.321 0.816
0.500 0.179 0.316
0.500 0.500 0.599
0.500 0.000 0.704
0.000 0.000 0.099
0.000 0.500 0.204
0.000 0.810 0.491
0.000 0.190 0.491
0.500 0.310 0.991
0.500 0.690 0.991
```


No. 7
Density functional theory data (PBE) for a relaxed Ca2CuNi crystal.

## Properties
DOS at the Fermi energy ... 2.41 states/eV/f.u.
Space-group type ... Pmm2
Formation energy ... 0.178 eV per atom

Cell and atoms, written as POSCAR:
```
Ca2CuNi
1.0
3.676 0.000 0.000
0.000 4.285 0.000
0.000 0.000 5.940
Cu Ca Ni
1 2 1
direct
0.000 0.000 0.448
0.500 0.500 0.326
0.000 0.000 0.919
0.500 0.500 0.807
```


No. 8
Density functional theory data (PBE) for a relaxed CaCuNi2 crystal.

## Properties
DOS at the Fermi energy ... 2.09 states/eV/f.u.
Space-group type ... R-3m
Formation energy ... 0.472 eV per atom

Cell and atoms, written as POSCAR:
```
CaCuNi2
1.0
-6.271 2.995 -5.033
-7.807 1.340 -3.299
-7.159 4.001 -2.522
Cu Ca Ni
1 1 2
direct
0.750 0.750 0.750
0.250 0.250 0.250
0.008 0.008 0.008
0.492 0.492 0.492
```


Copy entry 8 word for word.
Density functional theory data (PBE) for a relaxed CaCuNi2 crystal.

## Properties
DOS at the Fermi energy ... 2.09 states/eV/f.u.
Space-group type ... R-3m
Formation energy ... 0.472 eV per atom

Cell and atoms, written as POSCAR:
```
CaCuNi2
1.0
-6.271 2.995 -5.033
-7.807 1.340 -3.299
-7.159 4.001 -2.522
Cu Ca Ni
1 1 2
direct
0.750 0.750 0.750
0.250 0.250 0.250
0.008 0.008 0.008
0.492 0.492 0.492
```


- Which formula does entry 6 have?
  CaCuNi